DFT (PBE-GGA) results for a geometry-optimized MgZnSe2Br structure.

The space group is P4/mmm (No. 123) and the conventional cell measures 5.168, 5.168 and 5.049 Å, with angles of 90.00, 90.00 and 90.00 degrees. The inequivalent atoms are Mg at (0.000, 0.000, 0.000), Zn at (0.500, 0.500, 0.500), Se at (0.000, 0.500, 0.000) and Br at (0.000, 0.000, 0.500).

For the total magnetization, the calculation gives 0.0 μB per cell. Its relative energy among the computed polymorphs is 0.093 eV per atom.

DFT (PBE-GGA) results for a geometry-optimized Er4TeRhSe2 structure.

The space group is P2/m (No. 10) and the conventional cell measures 7.255, 4.025 and 7.271 Å, with angles of 90.00, 108.25 and 90.00 degrees. The inequivalent atoms are Er at (0.217, 0.000, 0.231), Er at (0.220, 0.500, 0.749), Te at (0.500, 0.000, 0.000), Rh at (0.000, 0.500, 0.000), Se at (0.000, 0.000, 0.500) and Se at (0.500, 0.500, 0.500).

For the total magnetization, the calculation gives 0.0 μB per cell.

no.,ΔE_f (raw) (meV per atom)
1,-6
2,-1337